Record 1
Crystalline La2TlF2 at its relaxed geometry, computed with PBE.

Output
The size of the total moment is 0.00 μB per formula unit. The density of states at the Fermi level comes out at 7.72 states/eV/f.u. Its uncorrected formation energy is -1931 meV/atom. The energy above the most stable polymorph in this dataset comes out at 0 meV per atom. The calculation puts the total energy at -5.12 eV/atom.

Lattice parameters (Å, degrees): 4.9044 4.9044 10.3132 90.00 90.00 90.00
Atoms (fractional coordinates):
La  0.0000  0.5000  0.2500
La  0.0000  0.5000  0.7500
La  0.5000  0.0000  0.2500
La  0.5000  0.0000  0.7500
Tl  0.0000  0.0000  0.0000
Tl  0.5000  0.5000  0.5000
F  0.0000  0.0000  0.3235
F  0.0000  0.0000  0.6765
F  0.5000  0.5000  0.1765
F  0.5000  0.5000  0.8235

Record 2
Crystalline MgZnAs at its relaxed geometry, computed with PBE.

Output
The size of the total moment is 0.00 μB per formula unit. For the calculated formation energy, the calculation gives -0.175 eV/atom. The density of states at the Fermi level comes out at 1.29 states/eV/f.u. The calculation puts the total energy at -2.68 eV/atom.

Lattice parameters (Å, degrees): 6.8771 6.8771 6.8771 40.72 40.72 40.72
Atoms (fractional coordinates):
Mg  0.1096  0.1096  0.1096
Mg  0.8904  0.8904  0.8904
Zn  0.3880  0.3880  0.3880
Zn  0.6120  0.6120  0.6120
As  0.2520  0.2520  0.2520
As  0.7480  0.7480  0.7480

Record 3
Crystalline Ac2DyGe4Rh3 at its relaxed geometry, computed with PBE.

Output
The size of the total moment is 0.00 μB per formula unit. For the calculated formation energy, the calculation gives -0.784 eV/atom. The density of states at the Fermi level comes out at 6.21 states/eV/f.u. The calculation puts the total energy at -6.12 eV/atom.

Lattice parameters (Å, degrees): 4.3894 4.3894 11.2506 90.00 90.00 90.00
Atoms (fractional coordinates):
Ac  0.0000  0.5000  0.2294
Ac  0.5000  0.0000  0.7706
Dy  0.0000  0.0000  0.5000
Ge  0.0000  0.0000  0.0000
Ge  0.0000  0.5000  0.6628
Ge  0.5000  0.0000  0.3372
Ge  0.5000  0.5000  0.0000
Rh  0.0000  0.5000  0.8876
Rh  0.5000  0.0000  0.1124
Rh  0.5000  0.5000  0.5000